La12Dy5Er2 | PBE | relaxed

Excess energy over the best structure of this formula in the dataset   0.000 eV/atom
ΔH_f (0 K)   0.10 eV per atom

Geometry as POSCAR:
```
La12Dy5Er2
1.0
6.6138 -5.8763 0.0000
6.6138 5.8763 0.0000
-4.2755 0.0000 8.5683
La Dy Er
12 5 2
direct
0.0423 0.5454 0.6890
0.0694 0.0694 0.2844
0.1204 0.6680 0.0888
0.3320 0.8796 0.9112
0.3927 0.3927 0.5665
0.4546 0.9577 0.3110
0.5454 0.0423 0.6890
0.6073 0.6073 0.4335
0.6680 0.1204 0.0888
0.8796 0.3320 0.9112
0.9306 0.9306 0.7156
0.9577 0.4546 0.3110
0.1907 0.1907 0.7293
0.2955 0.2955 0.1514
0.5000 0.5000 0.0000
0.7045 0.7045 0.8486
0.8093 0.8093 0.2707
0.2200 0.7800 0.5000
0.7800 0.2200 0.5000
```